# Ac2Pr3Sn4 PBE relaxed
# Formation energy from the elements, eV per atom: -0.7707
# Distance to the lowest polymorph of the same formula, eV/atom: 0.000
data_Ac2Pr3Sn4
_chemical_formula_sum 'Ac4 Pr6 Sn8'
_space_group_name_H-M_alt 'P 1 21/c 1'
_space_group_IT_number 14
_cell_length_a 8.6987
_cell_length_b 8.7475
_cell_length_c 8.4519
_cell_angle_alpha 90.00
_cell_angle_beta 109.34
_cell_angle_gamma 90.00
loop_
_space_group_symop_operation_xyz
'x,y,z'
'-x,-y,-z'
'-x,y+1/2,-z+1/2'
'x,-y+1/2,z+1/2'
loop_
_atom_site_label
_atom_site_type_symbol
_atom_site_fract_x
_atom_site_fract_y
_atom_site_fract_z
Ac1 Ac 0.1936 0.1771 0.0687
Pr1 Pr 0.2477 0.6720 0.2480
Pr2 Pr 0.5000 0.0000 0.5000
Sn1 Sn 0.0818 0.5382 0.8543
Sn2 Sn 0.4921 0.1310 0.8664

# AcPr2Sn2 PBE relaxed
# Formation energy from the elements, eV per atom: -0.6474
# Distance to the lowest polymorph of the same formula, eV/atom: 0.000
data_AcPr2Sn2
_chemical_formula_sum 'Ac2 Pr4 Sn4'
_space_group_name_H-M_alt 'P 4/m b m'
_space_group_IT_number 127
_space_group_name_Hall '-P 4 2ab'
_cell_length_a 8.6833
_cell_length_b 8.6833
_cell_length_c 4.4166
_cell_angle_alpha 90.00
_cell_angle_beta 90.00
_cell_angle_gamma 90.00
loop_
_atom_site_label
_atom_site_type_symbol
_atom_site_fract_x
_atom_site_fract_y
_atom_site_fract_z
Ac1 Ac 0.0000 0.0000 0.0000
Pr1 Pr 0.1712 0.3288 0.5000
Sn1 Sn 0.1241 0.6241 0.0000

# AcPrSn6 PBE relaxed
# Formation energy from the elements, eV per atom: -0.5049
data_AcPrSn6
_chemical_formula_sum 'Ac1 Pr1 Sn6'
_space_group_name_H-M_alt 'P 4/m m m'
_space_group_IT_number 123
_space_group_name_Hall '-P 4 2'
_cell_length_a 4.8728
_cell_length_b 4.8728
_cell_length_c 9.6485
_cell_angle_alpha 90.00
_cell_angle_beta 90.00
_cell_angle_gamma 90.00
loop_
_atom_site_label
_atom_site_type_symbol
_atom_site_fract_x
_atom_site_fract_y
_atom_site_fract_z
Ac1 Ac 0.0000 0.0000 0.0000
Pr1 Pr 0.0000 0.0000 0.5000
Sn1 Sn 0.0000 0.5000 0.2563
Sn2 Sn 0.5000 0.5000 0.0000
Sn3 Sn 0.5000 0.5000 0.5000

# AcPr4Sn4 PBE relaxed
# Formation energy from the elements, eV per atom: -0.4653
data_AcPr4Sn4
_chemical_formula_sum 'Ac2 Pr8 Sn8'
_space_group_name_H-M_alt 'P 42/n'
_space_group_IT_number 86
_cell_length_a 10.3320
_cell_length_b 10.3320
_cell_length_c 6.4033
_cell_angle_alpha 90.00
_cell_angle_beta 90.00
_cell_angle_gamma 90.00
loop_
_space_group_symop_operation_xyz
'x,y,z'
'-x,-y,-z'
'-y,x+1/2,z+1/2'
'y,-x+1/2,-z+1/2'
'-x+1/2,-y+1/2,z'
'x+1/2,y+1/2,-z'
'y+1/2,-x,z+1/2'
'-y+1/2,x,-z+1/2'
loop_
_atom_site_label
_atom_site_type_symbol
_atom_site_fract_x
_atom_site_fract_y
_atom_site_fract_z
Ac1 Ac 0.2500 0.2500 0.2500
Pr1 Pr 0.0965 0.6445 0.1374
Sn1 Sn 0.0424 0.6059 0.6455

# AcPr5Sn5 PBE relaxed
# Formation energy from the elements, eV per atom: -0.4678
data_AcPr5Sn5
_chemical_formula_sum 'Ac2 Pr10 Sn10'
_space_group_name_H-M_alt 'C 1 2/m 1'
_space_group_IT_number 12
_cell_length_a 14.6196
_cell_length_b 6.4946
_cell_length_c 9.0112
_cell_angle_alpha 90.00
_cell_angle_beta 107.43
_cell_angle_gamma 90.00
loop_
_space_group_symop_operation_xyz
'x,y,z'
'-x,-y,-z'
'-x,y,-z'
'x,-y,z'
'x+1/2,y+1/2,z'
'-x+1/2,-y+1/2,-z'
'-x+1/2,y+1/2,-z'
'x+1/2,-y+1/2,z'
loop_
_atom_site_label
_atom_site_type_symbol
_atom_site_fract_x
_atom_site_fract_y
_atom_site_fract_z
Ac1 Ac 0.0000 0.0000 0.0000
Pr1 Pr 0.0000 0.0000 0.5000
Pr2 Pr 0.1630 0.5000 0.3343
Pr3 Pr 0.1724 0.5000 0.8408
Sn1 Sn 0.0000 0.5000 0.0000
Sn2 Sn 0.1681 0.0000 0.8195
Sn3 Sn 0.1686 0.0000 0.3454

# Ac8PrSn5 PBE relaxed
# Formation energy from the elements, eV per atom: -0.4557
data_Ac8PrSn5
_chemical_formula_sum 'Ac16 Pr2 Sn10'
_space_group_name_H-M_alt 'I -4'
_space_group_IT_number 82
_cell_length_a 10.2480
_cell_length_b 10.2480
_cell_length_c 10.2103
_cell_angle_alpha 90.00
_cell_angle_beta 90.00
_cell_angle_gamma 90.00
loop_
_space_group_symop_operation_xyz
'x,y,z'
'y,-x,-z'
'-x,-y,z'
'-y,x,-z'
'x+1/2,y+1/2,z+1/2'
'y+1/2,-x+1/2,-z+1/2'
'-x+1/2,-y+1/2,z+1/2'
'-y+1/2,x+1/2,-z+1/2'
loop_
_atom_site_label
_atom_site_type_symbol
_atom_site_fract_x
_atom_site_fract_y
_atom_site_fract_z
Ac1 Ac 0.0730 0.1652 0.1982
Ac2 Ac 0.0767 0.3142 0.5628
Pr1 Pr 0.0000 0.5000 0.2500
Sn1 Sn 0.0000 0.0000 0.5000
Sn2 Sn 0.1305 0.2517 0.8819

# AcPrSn3 PBE relaxed
# Formation energy from the elements, eV per atom: -0.6216
data_AcPrSn3
_chemical_formula_sum 'Ac4 Pr4 Sn12'
_space_group_name_H-M_alt 'C m c m'
_space_group_IT_number 63
_space_group_name_Hall '-C 2c 2'
_cell_length_a 4.6302
_cell_length_b 30.8539
_cell_length_c 4.5250
_cell_angle_alpha 90.00
_cell_angle_beta 90.00
_cell_angle_gamma 90.00
loop_
_atom_site_label
_atom_site_type_symbol
_atom_site_fract_x
_atom_site_fract_y
_atom_site_fract_z
Ac1 Ac 0.0000 0.0767 0.2500
Pr1 Pr 0.0000 0.2051 0.7500
Sn1 Sn 0.0000 0.3101 0.7500
Sn2 Sn 0.0000 0.3734 0.2500
Sn3 Sn 0.0000 0.4702 0.2500

# Ac5PrSn3 PBE relaxed
# Formation energy from the elements, eV per atom: -0.4543
data_Ac5PrSn3
_chemical_formula_sum 'Ac10 Pr2 Sn6'
_space_group_name_H-M_alt 'P 63/m c m'
_space_group_IT_number 193
_space_group_name_Hall '-P 6c 2'
_cell_length_a 10.2014
_cell_length_b 10.2014
_cell_length_c 7.2151
_cell_angle_alpha 90.00
_cell_angle_beta 90.00
_cell_angle_gamma 120.00
loop_
_atom_site_label
_atom_site_type_symbol
_atom_site_fract_x
_atom_site_fract_y
_atom_site_fract_z
Ac1 Ac 0.0000 0.3291 0.2500
Ac2 Ac 0.3333 0.6667 0.0000
Pr1 Pr 0.0000 0.0000 0.0000
Sn1 Sn 0.0000 0.3333 0.7500

# AcPr2Sn PBE relaxed
# Formation energy from the elements, eV per atom: -0.3383
# Distance to the lowest polymorph of the same formula, eV/atom: 0.063
data_AcPr2Sn
_chemical_formula_sum 'Ac1 Pr2 Sn1'
_space_group_name_H-M_alt 'P 4/m m m'
_space_group_IT_number 123
_space_group_name_Hall '-P 4 2'
_cell_length_a 4.2197
_cell_length_b 4.2197
_cell_length_c 7.6521
_cell_angle_alpha 90.00
_cell_angle_beta 90.00
_cell_angle_gamma 90.00
loop_
_atom_site_label
_atom_site_type_symbol
_atom_site_fract_x
_atom_site_fract_y
_atom_site_fract_z
Ac1 Ac 0.0000 0.0000 0.0000
Pr1 Pr 0.5000 0.5000 0.2948
Sn1 Sn 0.0000 0.0000 0.5000

# Ac6PrSn3 PBE relaxed
# Formation energy from the elements, eV per atom: -0.3248
data_Ac6PrSn3
_chemical_formula_sum 'Ac24 Pr4 Sn12'
_space_group_name_H-M_alt 'C m c 21'
_space_group_IT_number 36
_cell_length_a 12.8259
_cell_length_b 16.0487
_cell_length_c 7.9579
_cell_angle_alpha 90.00
_cell_angle_beta 90.00
_cell_angle_gamma 90.00
loop_
_space_group_symop_operation_xyz
'x,y,z'
'-x,-y,z+1/2'
'-x,y,z'
'x,-y,z+1/2'
'x+1/2,y+1/2,z'
'-x+1/2,-y+1/2,z+1/2'
'-x+1/2,y+1/2,z'
'x+1/2,-y+1/2,z+1/2'
loop_
_atom_site_label
_atom_site_type_symbol
_atom_site_fract_x
_atom_site_fract_y
_atom_site_fract_z
Ac1 Ac 0.0000 0.0419 0.0000
Ac2 Ac 0.0000 0.2544 0.8427
Ac3 Ac 0.1821 0.4653 0.8436
Ac4 Ac 0.2387 0.2952 0.5172
Pr1 Pr 0.0000 0.1979 0.3654
Sn1 Sn 0.0000 0.4011 0.5381
Sn2 Sn 0.1596 0.1075 0.6609

# AcPr8Sn2 PBE relaxed
# Formation energy from the elements, eV per atom: -0.2210
data_AcPr8Sn2
_chemical_formula_sum 'Ac2 Pr16 Sn4'
_space_group_name_H-M_alt 'C 1 2/m 1'
_space_group_IT_number 12
_cell_length_a 17.9146
_cell_length_b 6.8957
_cell_length_c 6.3997
_cell_angle_alpha 90.00
_cell_angle_beta 99.73
_cell_angle_gamma 90.00
loop_
_space_group_symop_operation_xyz
'x,y,z'
'-x,-y,-z'
'-x,y,-z'
'x,-y,z'
'x+1/2,y+1/2,z'
'-x+1/2,-y+1/2,-z'
'-x+1/2,y+1/2,-z'
'x+1/2,-y+1/2,z'
loop_
_atom_site_label
_atom_site_type_symbol
_atom_site_fract_x
_atom_site_fract_y
_atom_site_fract_z
Ac1 Ac 0.0000 0.0000 0.0000
Pr1 Pr 0.0900 0.5000 0.9860
Pr2 Pr 0.1054 0.2486 0.5157
Pr3 Pr 0.2163 0.0000 0.1446
Sn1 Sn 0.2395 0.5000 0.3265

# Ac3Pr2Sn4 PBE relaxed
# Formation energy from the elements, eV per atom: -0.5914
# Distance to the lowest polymorph of the same formula, eV/atom: 0.068
data_Ac3Pr2Sn4
_chemical_formula_sum 'Ac6 Pr4 Sn8'
_space_group_name_H-M_alt 'C 1 2/m 1'
_space_group_IT_number 12
_cell_length_a 12.3785
_cell_length_b 5.0354
_cell_length_c 10.6800
_cell_angle_alpha 90.00
_cell_angle_beta 97.74
_cell_angle_gamma 90.00
loop_
_space_group_symop_operation_xyz
'x,y,z'
'-x,-y,-z'
'-x,y,-z'
'x,-y,z'
'x+1/2,y+1/2,z'
'-x+1/2,-y+1/2,-z'
'-x+1/2,y+1/2,-z'
'x+1/2,-y+1/2,z'
loop_
_atom_site_label
_atom_site_type_symbol
_atom_site_fract_x
_atom_site_fract_y
_atom_site_fract_z
Ac1 Ac 0.0000 0.0000 0.0000
Ac2 Ac 0.1230 0.5000 0.4058
Pr1 Pr 0.1782 0.5000 0.8116
Sn1 Sn 0.0882 0.0000 0.6241
Sn2 Sn 0.1633 0.5000 0.1095

# Ac12PrSn4 PBE relaxed
# Formation energy from the elements, eV per atom: 0.0654
data_Ac12PrSn4
_chemical_formula_sum 'Ac24 Pr2 Sn8'
_space_group_name_H-M_alt 'I m -3'
_space_group_IT_number 204
_space_group_name_Hall '-I 2 2 3'
_cell_length_a 11.7893
_cell_length_b 11.7893
_cell_length_c 11.7893
_cell_angle_alpha 90.00
_cell_angle_beta 90.00
_cell_angle_gamma 90.00
loop_
_atom_site_label
_atom_site_type_symbol
_atom_site_fract_x
_atom_site_fract_y
_atom_site_fract_z
Ac1 Ac 0.0000 0.1650 0.3285
Pr1 Pr 0.0000 0.0000 0.0000
Sn1 Sn 0.2500 0.2500 0.2500

# AcTbPrSn PBE relaxed
# Formation energy from the elements, eV per atom: -0.1985
data_AcTbPrSn
_chemical_formula_sum 'Ac4 Tb4 Pr4 Sn4'
_space_group_name_H-M_alt 'F -4 3 m'
_space_group_IT_number 216
_space_group_name_Hall 'F -4 2 3'
_cell_length_a 7.9804
_cell_length_b 7.9804
_cell_length_c 7.9804
_cell_angle_alpha 90.00
_cell_angle_beta 90.00
_cell_angle_gamma 90.00
loop_
_atom_site_label
_atom_site_type_symbol
_atom_site_fract_x
_atom_site_fract_y
_atom_site_fract_z
Ac1 Ac 0.0000 0.0000 0.0000
Tb1 Tb 0.2500 0.2500 0.2500
Pr1 Pr 0.2500 0.2500 0.7500
Sn1 Sn 0.0000 0.0000 0.5000

# AcPrSnTe PBE relaxed
# Formation energy from raw total energies, eV per atom: -1.12
# Distance to the lowest polymorph of the same formula, eV/atom: 0.000
data_AcPrSnTe
_chemical_formula_sum 'Ac3 Pr3 Sn3 Te3'
_space_group_name_H-M_alt 'R 3 m'
_space_group_IT_number 160
_space_group_name_Hall 'R 3 -2"'
_cell_length_a 4.6846
_cell_length_b 4.6846
_cell_length_c 23.0286
_cell_angle_alpha 90.00
_cell_angle_beta 90.00
_cell_angle_gamma 120.00
loop_
_atom_site_label
_atom_site_type_symbol
_atom_site_fract_x
_atom_site_fract_y
_atom_site_fract_z
Ac1 Ac 0.0000 0.0000 0.0000
Pr1 Pr 0.0000 0.0000 0.4927
Sn1 Sn 0.0000 0.0000 0.7509
Te1 Te 0.0000 0.0000 0.2425

# AcPrSnTe PBE relaxed
# Formation energy from raw total energies, eV per atom: -0.90
# Distance to the lowest polymorph of the same formula, eV/atom: 0.227
data_AcPrSnTe
_chemical_formula_sum 'Ac4 Pr4 Sn4 Te4'
_space_group_name_H-M_alt 'F -4 3 m'
_space_group_IT_number 216
_space_group_name_Hall 'F -4 2 3'
_cell_length_a 8.0481
_cell_length_b 8.0481
_cell_length_c 8.0481
_cell_angle_alpha 90.00
_cell_angle_beta 90.00
_cell_angle_gamma 90.00
loop_
_atom_site_label
_atom_site_type_symbol
_atom_site_fract_x
_atom_site_fract_y
_atom_site_fract_z
Ac1 Ac 0.0000 0.0000 0.0000
Pr1 Pr 0.0000 0.0000 0.5000
Sn1 Sn 0.2500 0.2500 0.7500
Te1 Te 0.2500 0.2500 0.2500

# AcPrThSn PBE relaxed
# Formation energy from the elements, eV per atom: -0.1209
data_AcPrThSn
_chemical_formula_sum 'Ac4 Pr4 Th4 Sn4'
_space_group_name_H-M_alt 'F -4 3 m'
_space_group_IT_number 216
_space_group_name_Hall 'F -4 2 3'
_cell_length_a 8.0470
_cell_length_b 8.0470
_cell_length_c 8.0470
_cell_angle_alpha 90.00
_cell_angle_beta 90.00
_cell_angle_gamma 90.00
loop_
_atom_site_label
_atom_site_type_symbol
_atom_site_fract_x
_atom_site_fract_y
_atom_site_fract_z
Ac1 Ac 0.0000 0.0000 0.0000
Pr1 Pr 0.2500 0.2500 0.7500
Th1 Th 0.2500 0.2500 0.2500
Sn1 Sn 0.0000 0.0000 0.5000

# AcPrTlSn PBE relaxed
# Formation energy from the elements, eV per atom: -0.5508
# Distance to the lowest polymorph of the same formula, eV/atom: 0.000
data_AcPrTlSn
_chemical_formula_sum 'Ac2 Pr2 Tl2 Sn2'
_space_group_name_H-M_alt 'A m m 2'
_space_group_IT_number 38
_cell_length_a 4.5564
_cell_length_b 4.8551
_cell_length_c 12.2924
_cell_angle_alpha 90.00
_cell_angle_beta 90.00
_cell_angle_gamma 90.00
loop_
_space_group_symop_operation_xyz
'x,y,z'
'-x,-y,z'
'-x,y,z'
'x,-y,z'
'x,y+1/2,z+1/2'
'-x,-y+1/2,z+1/2'
'-x,y+1/2,z+1/2'
'x,-y+1/2,z+1/2'
loop_
_atom_site_label
_atom_site_type_symbol
_atom_site_fract_x
_atom_site_fract_y
_atom_site_fract_z
Ac1 Ac 0.0000 0.0000 0.0000
Pr1 Pr 0.5000 0.0000 0.7244
Tl1 Tl 0.5000 0.0000 0.4422
Sn1 Sn 0.0000 0.0000 0.2751

# AcPrTlSn PBE relaxed
# Formation energy from the elements, eV per atom: -0.4826
# Distance to the lowest polymorph of the same formula, eV/atom: 0.068
data_AcPrTlSn
_chemical_formula_sum 'Ac4 Pr4 Tl4 Sn4'
_space_group_name_H-M_alt 'F -4 3 m'
_space_group_IT_number 216
_space_group_name_Hall 'F -4 2 3'
_cell_length_a 8.0393
_cell_length_b 8.0393
_cell_length_c 8.0393
_cell_angle_alpha 90.00
_cell_angle_beta 90.00
_cell_angle_gamma 90.00
loop_
_atom_site_label
_atom_site_type_symbol
_atom_site_fract_x
_atom_site_fract_y
_atom_site_fract_z
Ac1 Ac 0.0000 0.0000 0.0000
Pr1 Pr 0.0000 0.0000 0.5000
Tl1 Tl 0.2500 0.2500 0.2500
Sn1 Sn 0.2500 0.2500 0.7500

# AcPrYSn PBE relaxed
# Formation energy from the elements, eV per atom: -0.2017
data_AcPrYSn
_chemical_formula_sum 'Ac4 Pr4 Y4 Sn4'
_space_group_name_H-M_alt 'F -4 3 m'
_space_group_IT_number 216
_space_group_name_Hall 'F -4 2 3'
_cell_length_a 7.9795
_cell_length_b 7.9795
_cell_length_c 7.9795
_cell_angle_alpha 90.00
_cell_angle_beta 90.00
_cell_angle_gamma 90.00
loop_
_atom_site_label
_atom_site_type_symbol
_atom_site_fract_x
_atom_site_fract_y
_atom_site_fract_z
Ac1 Ac 0.0000 0.0000 0.0000
Pr1 Pr 0.2500 0.2500 0.7500
Y1 Y 0.2500 0.2500 0.2500
Sn1 Sn 0.0000 0.0000 0.5000

Values for calculated density, Mg/m³, ordered as above
7.4; 7.4; 7.8; 6.1; 6.2; 7.9; 7.4; 8.3; 7.6; 7.5; 6.8; 7.2; 6.8; 8.4; 7.0; 7.8; 9.2; 8.4; 8.8; 7.5